[1]
CsNpCoSe3: relaxed, PBE-GGA.

a b c (Å): 9.854 4.058 10.067
angles (deg): 90.00 114.33 90.00
Space group P2_1/m (No. 11)
Inequivalent atoms, fractional coordinates:
1 Cs 0.213 0.250 0.243 [2 per cell]
2 Np 0.319 0.750 0.838 [2 per cell]
3 Co 0.075 0.250 0.582 [2 per cell]
4 Se 0.123 0.250 0.842 [2 per cell]
5 Se 0.192 0.750 0.533 [2 per cell]
6 Se 0.472 0.750 0.151 [2 per cell]

## Properties
Calculated density in g cm⁻³: 6.03
Magnetization in μB per cell: 2.286
Total DFT energy (no corrections) in eV/atom: -6.163
Uncorrected formation energy in eV per atom: -0.94

---

[2]
U2CoSe2S3: relaxed, PBE-GGA.

a b c (Å): 14.644 6.282 7.074
angles (deg): 90.00 98.18 90.00
Space group C2/c (No. 15)
Inequivalent atoms, fractional coordinates:
1 U 0.099 0.222 0.085 [8 per cell]
2 Co 0.250 0.250 0.500 [4 per cell]
3 Se 0.219 0.084 0.809 [8 per cell]
4 S 0.000 0.084 0.750 [4 per cell]
5 S 0.092 0.383 0.428 [8 per cell]

## Properties
Calculated density in g cm⁻³: 8.14
Magnetization in μB per cell: 20.033
Total DFT energy (no corrections) in eV/atom: -7.149
Uncorrected formation energy in eV per atom: -1.02

---

[3]
Al2CuTcBr: relaxed, PBE-GGA.

a b c (Å): 4.517 4.517 5.167
angles (deg): 90.00 90.00 90.00
Space group P4/mmm (No. 123)
Inequivalent atoms, fractional coordinates:
1 Al 0.000 0.500 0.000 [2 per cell]
2 Cu 0.000 0.000 0.000 [1 per cell]
3 Tc 0.000 0.000 0.500 [1 per cell]
4 Br 0.500 0.500 0.500 [1 per cell]

## Properties
Calculated density in g cm⁻³: 4.65
Magnetization in μB per cell: 3.515
Total DFT energy (no corrections) in eV/atom: -3.987
Uncorrected formation energy in eV per atom: 0.74